Record 1
Below is a relaxed structure of TcBBr2, with properties calculated at the PBEsol level.

- DFT total energy: -4.01 eV per atom
- Formation energy from raw total energies: 1.492 eV/atom

The structure in CIF format:
```
data_TcBBr2
_chemical_formula_sum 'Tc2 B2 Br4'
_cell_length_a 6.079
_cell_length_b 6.079
_cell_length_c 6.079
_cell_angle_alpha 121.18
_cell_angle_beta 121.18
_cell_angle_gamma 87.97
_space_group_name_H-M_alt 'P 1'
_space_group_IT_number 1
loop_
_space_group_symop_operation_xyz
'x,y,z'
loop_
_atom_site_label
_atom_site_fract_x
_atom_site_fract_y
_atom_site_fract_z
Tc1 0.000 0.000 0.000
Tc2 0.750 0.250 0.500
B1 0.250 0.750 0.500
B2 0.500 0.500 0.000
Br1 0.133 0.125 0.508
Br2 0.375 0.867 0.992
Br3 0.617 0.625 0.492
Br4 0.875 0.383 0.008
```



Record 2
Below is a relaxed structure of BAsIrSe2, with properties calculated at the PBEsol level.

- DFT total energy: -4.51 eV per atom
- Formation energy from raw total energies: 1.419 eV/atom

The structure in CIF format:
```
data_BAsIrSe2
_chemical_formula_sum 'B1 As1 Ir1 Se2'
_cell_length_a 5.017
_cell_length_b 5.017
_cell_length_c 4.536
_cell_angle_alpha 90.00
_cell_angle_beta 90.00
_cell_angle_gamma 90.00
_space_group_name_H-M_alt 'P 1'
_space_group_IT_number 1
loop_
_space_group_symop_operation_xyz
'x,y,z'
loop_
_atom_site_label
_atom_site_fract_x
_atom_site_fract_y
_atom_site_fract_z
B1 0.000 0.000 0.000
As1 0.500 0.500 0.000
Ir1 0.500 0.500 0.500
Se1 0.000 0.500 0.500
Se2 0.500 0.000 0.500
```



Record 3
Below is a relaxed structure of NiAg2Os, with properties calculated at the PBEsol level.

- Excess energy over the best structure of this formula in the dataset: 6 meV/atom
- DFT total energy: -5.67 eV per atom
- Energy relative to the elements: 2.3 eV/f.u.

The structure in CIF format:
```
data_NiAg2Os
_chemical_formula_sum 'Ni1 Ag2 Os1'
_cell_length_a 5.409
_cell_length_b 5.409
_cell_length_c 5.409
_cell_angle_alpha 151.49
_cell_angle_beta 128.46
_cell_angle_gamma 59.95
_space_group_name_H-M_alt 'P 1'
_space_group_IT_number 1
loop_
_space_group_symop_operation_xyz
'x,y,z'
loop_
_atom_site_label
_atom_site_fract_x
_atom_site_fract_y
_atom_site_fract_z
Ni1 0.000 0.000 0.000
Ag1 0.483 0.483 0.000
Ag2 0.756 0.256 0.500
Os1 0.214 0.714 0.500
```



Record 4
Below is a relaxed structure of Mg14Si5O24, with properties calculated at the PBEsol level.

- DFT total energy: -6.98 eV per atom
- Formation energy from raw total energies: -2.824 eV/atom

The structure in CIF format:
```
data_Mg14Si5O24
_chemical_formula_sum 'Mg28 Si10 O48'
_cell_length_a 10.088
_cell_length_b 14.235
_cell_length_c 5.888
_cell_angle_alpha 90.00
_cell_angle_beta 90.00
_cell_angle_gamma 90.00
_space_group_name_H-M_alt 'P 1'
_space_group_IT_number 1
loop_
_space_group_symop_operation_xyz
'x,y,z'
loop_
_atom_site_label
_atom_site_fract_x
_atom_site_fract_y
_atom_site_fract_z
Mg1 0.000 0.000 0.000
Mg2 0.000 0.500 0.000
Mg3 0.081 0.170 0.256
Mg4 0.081 0.170 0.744
Mg5 0.146 0.674 0.000
Mg6 0.180 0.824 0.500
Mg7 0.247 0.502 0.260
Mg8 0.247 0.502 0.740
Mg9 0.253 0.002 0.260
Mg10 0.253 0.002 0.740
Mg11 0.320 0.324 0.500
Mg12 0.354 0.174 0.000
Mg13 0.419 0.670 0.256
Mg14 0.419 0.670 0.744
Mg15 0.500 0.000 0.000
Mg16 0.500 0.500 0.000
Mg17 0.581 0.330 0.256
Mg18 0.581 0.330 0.744
Mg19 0.646 0.826 0.000
Mg20 0.680 0.676 0.500
Mg21 0.747 0.998 0.260
Mg22 0.747 0.998 0.740
Mg23 0.753 0.498 0.260
Mg24 0.753 0.498 0.740
Mg25 0.820 0.176 0.500
Mg26 0.854 0.326 0.000
Mg27 0.919 0.830 0.256
Mg28 0.919 0.830 0.744
Si1 0.000 0.000 0.500
Si2 0.002 0.625 0.500
Si3 0.174 0.312 0.000
Si4 0.326 0.812 0.000
Si5 0.498 0.125 0.500
Si6 0.500 0.500 0.500
Si7 0.502 0.875 0.500
Si8 0.674 0.188 0.000
Si9 0.826 0.688 0.000
Si10 0.998 0.375 0.500
O1 0.004 0.742 0.500
O2 0.027 0.260 0.000
O3 0.075 0.926 0.285
O4 0.075 0.926 0.715
O5 0.079 0.587 0.265
O6 0.079 0.587 0.735
O7 0.146 0.076 0.500
O8 0.154 0.414 0.500
O9 0.170 0.425 0.000
O10 0.172 0.086 0.000
O11 0.247 0.262 0.219
O12 0.247 0.262 0.781
O13 0.253 0.762 0.219
O14 0.253 0.762 0.781
O15 0.328 0.586 0.000
O16 0.330 0.925 0.000
O17 0.346 0.914 0.500
O18 0.354 0.576 0.500
O19 0.421 0.087 0.265
O20 0.421 0.087 0.735
O21 0.425 0.426 0.285
O22 0.425 0.426 0.715
O23 0.473 0.760 0.000
O24 0.496 0.242 0.500
O25 0.504 0.758 0.500
O26 0.527 0.240 0.000
O27 0.575 0.574 0.285
O28 0.575 0.574 0.715
O29 0.579 0.913 0.265
O30 0.579 0.913 0.735
O31 0.646 0.424 0.500
O32 0.654 0.086 0.500
O33 0.670 0.075 0.000
O34 0.672 0.414 0.000
O35 0.747 0.238 0.219
O36 0.747 0.238 0.781
O37 0.753 0.738 0.219
O38 0.753 0.738 0.781
O39 0.828 0.914 0.000
O40 0.830 0.575 0.000
O41 0.846 0.586 0.500
O42 0.854 0.924 0.500
O43 0.921 0.413 0.265
O44 0.921 0.413 0.735
O45 0.925 0.074 0.285
O46 0.925 0.074 0.715
O47 0.973 0.740 0.000
O48 0.996 0.258 0.500
```